Record 1
A plane-wave DFT calculation with PBE was carried out for crystalline NaSmY2Se4 at its relaxed geometry.

Cell lengths 7.1768, 4.1036, 7.1939 Å; angles 90.00, 108.97, 90.00 degrees
Element x y z (fractional)
Na (0.0000, 0.0000, 0.0000)
Sm (0.5000, 0.5000, 0.0000)
Y (0.0000, 0.5000, 0.5000)
Y (0.5000, 0.0000, 0.5000)
Se (0.2456, 0.0000, 0.7444)
Se (0.2528, 0.5000, 0.2577)
Se (0.7472, 0.5000, 0.7423)
Se (0.7544, 0.0000, 0.2556)

Output
Volume   25.04 Å³/atom
Uncorrected formation energy   -1755 meV per atom
ρ   5.528 g cm⁻³
Symmetry   P2/m (10)
Total magnetic moment   0.000 μB/f.u.
D(E_F)   0.344 states/eV/atom

Record 2
A plane-wave DFT calculation with PBE was carried out for crystalline Na2Sm3YSe6 at its relaxed geometry.

Cell lengths 7.2163, 7.2163, 7.2477 Å; angles 99.53, 99.53, 119.95 degrees
Element x y z (fractional)
Na (0.1658, 0.8342, 0.0000)
Na (0.8342, 0.1658, 0.0000)
Sm (0.0000, 0.0000, 0.5000)
Sm (0.3304, 0.6696, 0.5000)
Sm (0.6696, 0.3304, 0.5000)
Y (0.5000, 0.5000, 0.0000)
Se (0.0897, 0.4176, 0.7529)
Se (0.2568, 0.2568, 0.2517)
Se (0.4176, 0.0897, 0.7529)
Se (0.5824, 0.9103, 0.2471)
Se (0.7432, 0.7432, 0.7483)
Se (0.9103, 0.5824, 0.2471)

Output
Volume   25.72 Å³/atom
Uncorrected formation energy   -1732 meV per atom
ρ   5.702 g cm⁻³
Symmetry   C2/m (12)
Total magnetic moment   0.000 μB/f.u.
D(E_F)   0.275 states/eV/atom

Record 3
A plane-wave DFT calculation with PBE was carried out for crystalline Na3SmY2Se6 at its relaxed geometry.

Cell lengths 7.2354, 7.2354, 7.4149 Å; angles 99.36, 99.36, 120.01 degrees
Element x y z (fractional)
Na (0.0000, 0.0000, 0.0000)
Na (0.3340, 0.6660, 0.0000)
Na (0.6660, 0.3340, 0.0000)
Sm (0.5000, 0.5000, 0.5000)
Y (0.1668, 0.8332, 0.5000)
Y (0.8332, 0.1668, 0.5000)
Se (0.0849, 0.4229, 0.2689)
Se (0.2391, 0.2391, 0.7314)
Se (0.4229, 0.0849, 0.2689)
Se (0.5771, 0.9151, 0.7311)
Se (0.7609, 0.7609, 0.2686)
Se (0.9151, 0.5771, 0.7311)

Output
Volume   26.49 Å³/atom
Uncorrected formation energy   -1708 meV per atom
ρ   4.550 g cm⁻³
Symmetry   C2/m (12)
Total magnetic moment   0.000 μB/f.u.
D(E_F)   0.000 states/eV/atom

Record 4
A plane-wave DFT calculation with PBE was carried out for crystalline Na3Sm2YSe6 at its relaxed geometry.

Cell lengths 7.2818, 7.2818, 7.4256 Å; angles 99.40, 99.40, 120.01 degrees
Element x y z (fractional)
Na (0.0000, 0.0000, 0.0000)
Na (0.3330, 0.6670, 0.0000)
Na (0.6670, 0.3330, 0.0000)
Sm (0.1666, 0.8334, 0.5000)
Sm (0.8334, 0.1666, 0.5000)
Y (0.5000, 0.5000, 0.5000)
Se (0.0938, 0.4225, 0.2674)
Se (0.2488, 0.2488, 0.7321)
Se (0.4225, 0.0938, 0.2674)
Se (0.5775, 0.9062, 0.7326)
Se (0.7512, 0.7512, 0.2679)
Se (0.9062, 0.5775, 0.7326)

Output
Volume   26.85 Å³/atom
Uncorrected formation energy   -1701 meV per atom
ρ   4.805 g cm⁻³
Symmetry   C2/m (12)
Total magnetic moment   0.000 μB/f.u.
D(E_F)   0.000 states/eV/atom

Record 5
A plane-wave DFT calculation with PBE was carried out for crystalline Na2SmZrSe4 at its relaxed geometry.

Cell lengths 7.0242, 4.0178, 7.4654 Å; angles 90.00, 108.03, 90.00 degrees
Element x y z (fractional)
Na (0.0000, 0.0000, 0.0000)
Na (0.5000, 0.5000, 0.0000)
Sm (0.0000, 0.5000, 0.5000)
Zr (0.5000, 0.0000, 0.5000)
Se (0.2605, 0.0000, 0.7341)
Se (0.2715, 0.5000, 0.2730)
Se (0.7285, 0.5000, 0.7270)
Se (0.7395, 0.0000, 0.2659)

Output
Volume   25.04 Å³/atom
Uncorrected formation energy   -1468 meV per atom
ρ   5.001 g cm⁻³
Symmetry   P2/m (10)
Total magnetic moment   0.000 μB/f.u.
D(E_F)   0.397 states/eV/atom

Record 6
A plane-wave DFT calculation with PBE was carried out for crystalline Na3Sm2ZrSe6 at its relaxed geometry.

Cell lengths 7.1011, 7.1011, 7.4604 Å; angles 99.17, 99.17, 120.03 degrees
Element x y z (fractional)
Na (0.0000, 0.0000, 0.0000)
Na (0.3302, 0.6698, 0.0000)
Na (0.6698, 0.3302, 0.0000)
Sm (0.1664, 0.8336, 0.5000)
Sm (0.8336, 0.1664, 0.5000)
Zr (0.5000, 0.5000, 0.5000)
Se (0.1060, 0.4224, 0.2677)
Se (0.2618, 0.2618, 0.7313)
Se (0.4224, 0.1060, 0.2677)
Se (0.5776, 0.8940, 0.7323)
Se (0.7382, 0.7382, 0.2687)
Se (0.8940, 0.5776, 0.7323)

Output
Volume   25.73 Å³/atom
Uncorrected formation energy   -1536 meV per atom
ρ   5.027 g cm⁻³
Symmetry   C2/m (12)
Total magnetic moment   0.000 μB/f.u.
D(E_F)   0.370 states/eV/atom